# Nb2GaC PBE optimized geometry
data_Nb2GaC
_chemical_formula_sum 'Nb6 Ga3 C3'
_symmetry_space_group_name_H-M 'R 3 m'
_symmetry_Int_Tables_number 160
_symmetry_space_group_name_Hall 'R 3 -2"'
_cell_length_a 3.1448
_cell_length_b 3.1448
_cell_length_c 20.6599
_cell_angle_alpha 90.00
_cell_angle_beta 90.00
_cell_angle_gamma 120.00
loop_
_atom_site_label
_atom_site_fract_x
_atom_site_fract_y
_atom_site_fract_z
Nb1 0.0000 0.0000 0.0000
Nb2 0.0000 0.0000 0.2144
Ga1 0.0000 0.0000 0.4397
C1 0.0000 0.0000 0.6074
# - ρ: 7.5 g cm⁻³
# - DFT total energy: -8.63 eV per atom
# - Formation energy: -0.529 eV per atom

***

# NbGa3C PBE optimized geometry
data_NbGa3C
_chemical_formula_sum 'Nb1 Ga3 C1'
_symmetry_space_group_name_H-M 'P m -3 m'
_symmetry_Int_Tables_number 221
_symmetry_space_group_name_Hall '-P 4 2 3'
_cell_length_a 5.099
_cell_length_b 5.099
_cell_length_c 5.099
_cell_angle_alpha 90.00
_cell_angle_beta 90.00
_cell_angle_gamma 90.00
loop_
_atom_site_label
_atom_site_fract_x
_atom_site_fract_y
_atom_site_fract_z
Nb1 0.000 0.000 0.000
Ga1 0.000 0.000 0.500
C1 0.500 0.500 0.500
# - ρ: 3.9 g cm⁻³
# - DFT total energy: -3.84 eV per atom
# - Formation energy: 1.839 eV per atom

***

# Nb5Ga4C PBE optimized geometry
data_Nb5Ga4C
_chemical_formula_sum 'Nb10 Ga8 C2'
_symmetry_space_group_name_H-M 'I 4/m m m'
_symmetry_Int_Tables_number 139
_symmetry_space_group_name_Hall '-I 4 2'
_cell_length_a 8.535
_cell_length_b 8.535
_cell_length_c 4.499
_cell_angle_alpha 90.00
_cell_angle_beta 90.00
_cell_angle_gamma 90.00
loop_
_atom_site_label
_atom_site_fract_x
_atom_site_fract_y
_atom_site_fract_z
Nb1 0.000 0.000 0.000
Nb2 0.180 0.180 0.500
Ga1 0.000 0.325 0.000
C1 0.000 0.000 0.500
# - ρ: 7.7 g cm⁻³
# - DFT total energy: -7.38 eV per atom
# - Formation energy: -0.211 eV per atom

***

# NbGaC PBE optimized geometry
data_NbGaC
_chemical_formula_sum 'Nb6 Ga6 C6'
_symmetry_space_group_name_H-M 'R -3 m'
_symmetry_Int_Tables_number 166
_symmetry_space_group_name_Hall '-R 3 2"'
_cell_length_a 3.6811
_cell_length_b 3.6811
_cell_length_c 23.5323
_cell_angle_alpha 90.00
_cell_angle_beta 90.00
_cell_angle_gamma 120.00
loop_
_atom_site_label
_atom_site_fract_x
_atom_site_fract_y
_atom_site_fract_z
Nb1 0.0000 0.0000 0.2134
Ga1 0.0000 0.0000 0.3650
C1 0.0000 0.0000 0.1207
# - ρ: 6.3 g cm⁻³
# - DFT total energy: -7.34 eV per atom
# - Formation energy: 0.096 eV per atom

***

# Nb6GaC4 PBE optimized geometry
data_Nb6GaC4
_chemical_formula_sum 'Nb24 Ga4 C16'
_symmetry_space_group_name_H-M 'C m c m'
_symmetry_Int_Tables_number 63
_symmetry_space_group_name_Hall '-C 2c 2'
_cell_length_a 3.255
_cell_length_b 10.688
_cell_length_c 16.694
_cell_angle_alpha 90.00
_cell_angle_beta 90.00
_cell_angle_gamma 90.00
loop_
_atom_site_label
_atom_site_fract_x
_atom_site_fract_y
_atom_site_fract_z
Nb1 0.000 0.000 0.000
Nb2 0.000 0.141 0.250
Nb3 0.000 0.278 0.580
Nb4 0.000 0.461 0.150
Ga1 0.000 0.166 0.750
C1 0.000 0.089 0.123
C2 0.000 0.361 0.039
# - ρ: 7.7 g cm⁻³
# - DFT total energy: -9.65 eV per atom
# - Formation energy: -0.526 eV per atom

***

# Nb2GaC PBE optimized geometry
data_Nb2GaC
_chemical_formula_sum 'Nb4 Ga2 C2'
_symmetry_space_group_name_H-M 'P 63/m m c'
_symmetry_Int_Tables_number 194
_symmetry_space_group_name_Hall '-P 6c 2c'
_cell_length_a 3.1652
_cell_length_b 3.1652
_cell_length_c 13.6078
_cell_angle_alpha 90.00
_cell_angle_beta 90.00
_cell_angle_gamma 120.00
loop_
_atom_site_label
_atom_site_fract_x
_atom_site_fract_y
_atom_site_fract_z
Nb1 0.3333 0.6667 0.0893
Ga1 0.3333 0.6667 0.7500
C1 0.0000 0.0000 0.0000
# - ρ: 7.5 g cm⁻³
# - DFT total energy: -8.63 eV per atom
# - Formation energy: -0.534 eV per atom

***

# Nb6GaC2 PBE optimized geometry
data_Nb6GaC2
_chemical_formula_sum 'Nb12 Ga2 C4'
_symmetry_space_group_name_H-M 'C 1 2/m 1'
_symmetry_Int_Tables_number 12
_cell_length_a 10.800
_cell_length_b 4.486
_cell_length_c 7.371
_cell_angle_alpha 90.00
_cell_angle_beta 124.84
_cell_angle_gamma 90.00
loop_
_symmetry_equiv_pos_as_xyz
'x,y,z'
'-x,-y,-z'
'-x,y,-z'
'x,-y,z'
'x+1/2,y+1/2,z'
'-x+1/2,-y+1/2,-z'
'-x+1/2,y+1/2,-z'
'x+1/2,-y+1/2,z'
loop_
_atom_site_label
_atom_site_fract_x
_atom_site_fract_y
_atom_site_fract_z
Nb1 0.044 0.000 0.209
Nb2 0.149 0.500 0.547
Nb3 0.195 0.500 0.080
Ga1 0.000 0.000 0.500
C1 0.187 0.000 0.086
# - ρ: 7.4 g cm⁻³
# - DFT total energy: -9.11 eV per atom
# - Formation energy: -0.007 eV per atom

***

# Nb5Ga2C PBE optimized geometry
data_Nb5Ga2C
_chemical_formula_sum 'Nb20 Ga8 C4'
_symmetry_space_group_name_H-M 'C m c m'
_symmetry_Int_Tables_number 63
_symmetry_space_group_name_Hall '-C 2c 2'
_cell_length_a 4.453
_cell_length_b 13.773
_cell_length_c 10.250
_cell_angle_alpha 90.00
_cell_angle_beta 90.00
_cell_angle_gamma 90.00
loop_
_atom_site_label
_atom_site_fract_x
_atom_site_fract_y
_atom_site_fract_z
Nb1 0.000 0.081 0.118
Nb2 0.000 0.284 0.061
Nb3 0.000 0.297 0.750
Ga1 0.000 0.117 0.630
C1 0.000 0.207 0.250
# - ρ: 6.5 g cm⁻³
# - DFT total energy: -7.93 eV per atom
# - Formation energy: 0.269 eV per atom

***

# NbGaC3 PBE optimized geometry
data_NbGaC3
_chemical_formula_sum 'Nb1 Ga1 C3'
_symmetry_space_group_name_H-M 'P m -3 m'
_symmetry_Int_Tables_number 221
_symmetry_space_group_name_Hall '-P 4 2 3'
_cell_length_a 4.242
_cell_length_b 4.242
_cell_length_c 4.242
_cell_angle_alpha 90.00
_cell_angle_beta 90.00
_cell_angle_gamma 90.00
loop_
_atom_site_label
_atom_site_fract_x
_atom_site_fract_y
_atom_site_fract_z
Nb1 0.000 0.000 0.000
Ga1 0.500 0.500 0.500
C1 0.000 0.000 0.500
# - ρ: 4.3 g cm⁻³
# - DFT total energy: -6.26 eV per atom
# - Formation energy: 1.898 eV per atom

***

# Nb2GaNiC PBE optimized geometry
data_Nb2GaNiC
_chemical_formula_sum 'Nb2 Ga1 Ni1 C1'
_symmetry_space_group_name_H-M 'P 4/m m m'
_symmetry_Int_Tables_number 123
_symmetry_space_group_name_Hall '-P 4 2'
_cell_length_a 4.830
_cell_length_b 4.830
_cell_length_c 3.425
_cell_angle_alpha 90.00
_cell_angle_beta 90.00
_cell_angle_gamma 90.00
loop_
_atom_site_label
_atom_site_fract_x
_atom_site_fract_y
_atom_site_fract_z
Nb1 0.000 0.500 0.000
Ga1 0.000 0.000 0.500
Ni1 0.500 0.500 0.000
C1 0.500 0.500 0.500
# - ρ: 6.8 g cm⁻³
# - DFT total energy: -6.80 eV per atom
# - Formation energy: 0.832 eV per atom

***

# NbGaReC2 PBE optimized geometry
data_NbGaReC2
_chemical_formula_sum 'Nb1 Ga1 Re1 C2'
_symmetry_space_group_name_H-M 'P 4/m m m'
_symmetry_Int_Tables_number 123
_symmetry_space_group_name_Hall '-P 4 2'
_cell_length_a 3.952
_cell_length_b 3.952
_cell_length_c 4.945
_cell_angle_alpha 90.00
_cell_angle_beta 90.00
_cell_angle_gamma 90.00
loop_
_atom_site_label
_atom_site_fract_x
_atom_site_fract_y
_atom_site_fract_z
Nb1 0.000 0.000 0.000
Ga1 0.500 0.500 0.000
Re1 0.500 0.500 0.500
C1 0.000 0.500 0.500
# - ρ: 8.0 g cm⁻³
# - DFT total energy: -7.34 eV per atom
# - Formation energy: 1.460 eV per atom

***

# Nb2GaReC PBE optimized geometry
data_Nb2GaReC
_chemical_formula_sum 'Nb2 Ga1 Re1 C1'
_symmetry_space_group_name_H-M 'P 4/m m m'
_symmetry_Int_Tables_number 123
_symmetry_space_group_name_Hall '-P 4 2'
_cell_length_a 4.316
_cell_length_b 4.316
_cell_length_c 4.056
_cell_angle_alpha 90.00
_cell_angle_beta 90.00
_cell_angle_gamma 90.00
loop_
_atom_site_label
_atom_site_fract_x
_atom_site_fract_y
_atom_site_fract_z
Nb1 0.000 0.500 0.000
Ga1 0.000 0.000 0.500
Re1 0.500 0.500 0.500
C1 0.500 0.500 0.000
# - ρ: 10.0 g cm⁻³
# - DFT total energy: -9.02 eV per atom
# - Formation energy: -0.057 eV per atom